An optimized crystal structure of TiVRh2F, computed with PBE with a Hubbard U.

Properties
D(E_F) (states/eV per atom): 0.8957
Total energy (eV/atom): -6.2901

Geometry as CIF:
```
data_TiVRh2F
_chemical_formula_sum 'Ti1 V1 Rh2 F1'
_cell_length_a 4.512
_cell_length_b 4.512
_cell_length_c 3.796
_cell_angle_alpha 90.00
_cell_angle_beta 90.00
_cell_angle_gamma 90.00
_space_group_name_H-M_alt 'P 4/m m m'
_space_group_IT_number 123
_space_group_name_Hall '-P 4 2'
loop_
_atom_site_label
_atom_site_type_symbol
_atom_site_fract_x
_atom_site_fract_y
_atom_site_fract_z
_atom_site_occupancy
Ti1 Ti 0.000 0.000 0.000 1
V1 V 0.500 0.500 0.000 1
Rh1 Rh 0.000 0.500 0.500 1
F1 F 0.000 0.000 0.500 1
```